No. 1
La3Sn2Au9 | PBE | relaxed

```
14
Lattice="4.423 0.000 1.234 1.512 8.153 3.124 -0.088 -0.193 8.859" Properties=species:S:1:pos:R:3 pbc="T T T"
La 0.000 0.000 0.000
La 3.552 2.314 4.359
La 2.296 5.646 8.858
Sn 2.622 2.408 7.689
Sn 3.225 5.553 5.528
Au 0.712 3.980 5.991
Au 4.314 7.833 10.170
Au 1.534 0.127 3.047
Au 3.889 5.616 11.693
Au 1.959 2.344 1.524
Au 5.050 6.860 7.531
Au 0.797 1.100 5.686
Au 4.376 3.343 9.948
Au 1.472 4.618 3.269
```

Results
The density of states at the Fermi level comes out at 6.89 states/eV/cell. The calculation puts the calculated formation energy at -0.6038 eV per atom. The crystal system is orthorhombic.

---

No. 2
LaSn3Au2 | PBE | relaxed

```
12
Lattice="-4.576 -0.325 -0.187 -1.641 -8.607 -1.285 -2.099 -6.822 6.819" Properties=species:S:1:pos:R:3 pbc="T T T"
La -4.468 -2.231 0.471
La -3.848 -13.523 4.876
Sn -4.091 -10.245 5.134
Sn -6.485 -8.294 3.965
Sn -4.387 -5.123 3.500
Sn -3.929 -10.631 1.847
Sn -1.831 -7.460 1.382
Sn -4.225 -5.509 0.213
Au -4.308 -7.321 5.383
Au -4.008 -8.432 -0.036
Au -6.258 -11.177 3.414
Au -2.058 -4.577 1.933
```

Results
The density of states at the Fermi level comes out at 3.51 states/eV/cell. The calculation puts the calculated formation energy at -0.4753 eV per atom. For the excess energy over the best structure of this formula in the dataset, the calculation gives 15 meV/atom. The crystal system is monoclinic.

---

No. 3
La3Sn4Au4 | PBE | relaxed

```
11
Lattice="4.371 0.000 -1.203 -0.866 6.995 -3.144 0.184 -0.095 9.210" Properties=species:S:1:pos:R:3 pbc="T T T"
La 0.482 0.847 1.752
La 3.207 6.052 3.110
La -0.433 3.497 -1.572
Sn 1.480 0.909 5.378
Sn 2.553 3.212 0.733
Sn 2.209 5.990 -0.516
Sn 1.137 3.688 4.129
Au 0.403 4.965 1.464
Au 3.287 1.934 3.398
Au 1.481 5.693 -3.161
Au 2.024 1.302 -1.187
```

Results
The density of states at the Fermi level comes out at 5.53 states/eV/cell. The calculation puts the calculated formation energy at -0.6569 eV per atom. The crystal system is orthorhombic.

---

No. 4
La3Sn4Au3 | PBE | relaxed

```
20
Lattice="2.236 -6.351 -5.787 5.817 0.073 6.707 -8.140 -1.607 3.160" Properties=species:S:1:pos:R:3 pbc="T T T"
La -1.362 -5.321 4.178
La -1.677 -6.543 -1.412
La 0.426 -1.168 2.582
La -4.539 -3.578 1.038
La 4.631 -1.724 4.817
La 2.260 -5.320 1.036
Sn -2.692 -0.532 1.045
Sn -1.028 -3.955 0.904
Sn 1.103 -4.510 -2.203
Sn -6.761 -1.335 2.625
Sn 4.765 -5.239 -1.454
Sn 1.880 -3.918 4.258
Sn 3.648 -2.063 1.440
Sn -1.176 -2.102 5.624
Au 1.590 -1.342 5.492
Au 1.275 -2.564 -0.098
Au 4.452 -4.307 3.041
Au -0.513 -6.717 1.498
Au -2.347 -2.565 3.043
Au -4.718 -6.160 -0.737
```

Results
The density of states at the Fermi level comes out at 18.70 states/eV/cell. The calculation puts the calculated formation energy at -0.7566 eV per atom. The crystal system is cubic.

---

No. 5
La2Sn2Au | PBE | relaxed

```
10
Lattice="8.429 0.000 0.000 0.000 8.429 0.000 0.000 0.000 4.579" Properties=species:S:1:pos:R:3 pbc="T T T"
Au 0.000 0.000 0.000
Au 4.214 4.214 0.000
Sn 1.012 5.226 2.290
Sn 5.226 7.417 2.290
Sn 7.417 3.202 2.290
Sn 3.202 1.012 2.290
La 2.710 6.924 0.000
La 6.924 5.719 0.000
La 5.719 1.505 0.000
La 1.505 2.710 0.000
```

Results
The density of states at the Fermi level comes out at 6.55 states/eV/cell. The calculation puts the calculated formation energy at -0.5742 eV per atom. For the excess energy over the best structure of this formula in the dataset, the calculation gives 241 meV/atom. The crystal system is tetragonal.

---

No. 6
LaSnAu2 | PBE | relaxed

```
8
Lattice="4.994 0.000 0.000 0.000 4.994 0.000 2.497 2.497 9.130" Properties=species:S:1:pos:R:3 pbc="T T T"
Au 3.321 1.249 2.282
Au 1.673 3.746 2.282
Au 3.746 4.170 6.847
Au 6.243 5.818 6.847
Sn 2.497 2.497 0.000
Sn 2.497 4.994 4.565
La 0.000 0.000 0.000
La 4.994 2.497 4.565
```

Results
The density of states at the Fermi level comes out at 8.37 states/eV/cell. The calculation puts the calculated formation energy at -0.4251 eV per atom. The crystal system is tetragonal.

---

No. 7
LaSnAu6 | PBE | relaxed

```
8
Lattice="5.571 0.000 0.000 0.000 5.571 0.000 0.000 0.000 5.571" Properties=species:S:1:pos:R:3 pbc="T T T"
La 2.785 2.785 2.785
Sn 0.000 0.000 0.000
Au 2.785 4.191 0.000
Au 4.191 0.000 2.785
Au 0.000 2.785 1.379
Au 1.379 0.000 2.785
Au 2.785 1.379 0.000
Au 0.000 2.785 4.191
```

Results
The density of states at the Fermi level comes out at 4.36 states/eV/cell. The calculation puts the calculated formation energy at -0.3030 eV per atom. The crystal system is cubic.

---

No. 8
LaSn2Au4 | PBE | relaxed

```
28
Lattice="-1.802 0.745 4.395 5.192 -3.714 2.759 10.432 15.773 1.601" Properties=species:S:1:pos:R:3 pbc="T T T"
La 5.404 10.572 4.368
La 8.418 2.232 4.388
La 11.219 11.846 3.905
La 2.604 0.958 4.850
Sn 9.228 5.851 4.106
Sn 4.595 6.953 4.650
Sn 10.075 14.650 5.591
Sn 3.747 -1.846 3.164
Sn 7.808 12.351 2.421
Sn 6.014 0.453 6.334
Sn 8.923 9.990 5.909
Sn 4.899 2.814 2.846
Au 8.207 9.639 3.045
Au 5.616 3.165 5.711
Au 11.501 10.572 6.867
Au 2.322 2.232 1.888
Au 10.475 8.351 4.193
Au 3.347 4.453 4.562
Au 8.277 12.544 5.211
Au 5.546 0.260 3.544
Au 6.156 7.801 2.516
Au 7.666 5.003 6.240
Au 12.418 13.221 6.794
Au 1.405 -0.417 1.962
Au 6.664 4.954 3.207
Au 7.158 7.850 5.549
Au -0.468 1.688 3.467
Au 14.290 11.116 5.288
```

Results
The density of states at the Fermi level comes out at 11.22 states/eV/cell. The calculation puts the calculated formation energy at -0.4762 eV per atom. The crystal system is orthorhombic.

---

No. 9
LaSn2Au9 | PBE | relaxed

```
12
Lattice="5.676 0.000 0.000 2.838 4.916 0.000 2.838 1.639 9.233" Properties=species:S:1:pos:R:3 pbc="T T T"
La 0.000 0.000 0.000
Sn 8.514 4.916 4.135
Sn 2.838 1.639 5.098
Au 8.514 4.916 9.233
Au 2.838 1.639 0.000
Au 5.676 3.277 4.617
Au 4.245 2.451 2.333
Au 7.108 2.451 2.333
Au 5.676 4.930 2.333
Au 7.108 4.104 6.900
Au 5.676 1.624 6.900
Au 4.245 4.104 6.900
```

Results
The density of states at the Fermi level comes out at 7.47 states/eV/cell. The calculation puts the calculated formation energy at -0.2385 eV per atom. The crystal system is trigonal.

---

No. 10
La3Sn2Au2 | PBE | relaxed

```
7
Lattice="4.624 0.000 0.000 -2.312 5.562 -2.044 0.000 0.226 7.867" Properties=species:S:1:pos:R:3 pbc="T T T"
La 0.000 3.744 1.360
La 2.312 2.043 4.463
La 2.312 0.000 0.000
Sn 2.312 5.126 3.342
Sn 0.000 0.662 2.480
Au 2.312 3.618 -0.834
Au 0.000 2.169 6.656
```

Results
The density of states at the Fermi level comes out at 5.34 states/eV/cell. The calculation puts the calculated formation energy at -0.8226 eV per atom. The crystal system is monoclinic.

---

No. 11
La2Sn2Au | PBE | relaxed

```
10
Lattice="-0.711 4.373 1.716 -3.247 -0.062 5.391 8.686 1.760 5.691" Properties=species:S:1:pos:R:3 pbc="T T T"
La 1.360 3.522 4.744
La 6.227 5.607 8.024
La 3.368 2.550 8.054
La -1.499 0.464 4.775
Sn 3.956 1.352 4.772
Sn 4.584 4.337 10.580
Sn 0.772 4.720 8.026
Sn 0.144 1.734 2.218
Au 5.018 3.888 5.326
Au -0.290 2.184 7.472
```

Results
The density of states at the Fermi level comes out at 9.16 states/eV/cell. The calculation puts the calculated formation energy at -0.8155 eV per atom. For the excess energy over the best structure of this formula in the dataset, the calculation gives 0 meV/atom. The crystal system is monoclinic.

---

No. 12
La3SnAu | PBE | relaxed

```
20
Lattice="-1.599 8.676 -0.266 -6.621 -1.051 5.451 4.603 1.072 7.233" Properties=species:S:1:pos:R:3 pbc="T T T"
La -6.282 4.240 4.298
La -7.178 7.084 6.551
La 2.665 4.457 8.120
La 3.561 1.613 5.867
La -3.796 6.692 2.639
La -4.600 5.590 9.014
La 0.179 2.005 9.779
La 0.983 3.108 3.404
La -1.056 5.301 7.571
La -1.194 8.144 5.057
La -2.561 3.396 4.846
La -2.423 0.554 7.361
Sn -5.245 1.454 5.666
Sn 1.628 7.243 6.751
Sn 0.336 2.510 6.552
Sn -3.953 6.188 5.865
Au -2.284 7.707 9.420
Au -0.870 5.568 3.065
Au -1.333 0.991 2.998
Au -2.747 3.130 9.353
```

Results
The density of states at the Fermi level comes out at 26.32 states/eV/cell. The calculation puts the calculated formation energy at -0.5811 eV per atom. For the excess energy over the best structure of this formula in the dataset, the calculation gives 0 meV/atom. The crystal system is monoclinic.

---

No. 13
LaSn4Au2 | PBE | relaxed

```
28
Lattice="4.554 0.000 0.000 0.000 6.976 0.000 0.000 0.000 22.646" Properties=species:S:1:pos:R:3 pbc="T T T"
La 3.416 6.877 14.190
La 1.139 0.098 8.457
La 1.139 3.390 19.780
La 3.416 3.586 2.867
Sn 1.139 1.617 15.929
Sn 3.416 5.359 6.718
Sn 3.416 5.105 18.041
Sn 1.139 1.871 4.606
Sn 1.139 4.882 15.529
Sn 3.416 2.094 7.117
Sn 3.416 1.394 18.440
Sn 1.139 5.582 4.206
Sn 1.139 1.074 11.994
Sn 3.416 5.901 10.653
Sn 3.416 4.562 21.976
Sn 1.139 2.413 0.671
Sn 1.139 3.533 9.730
Sn 3.416 3.443 12.916
Sn 3.416 0.045 1.593
Sn 1.139 6.930 21.053
Au 1.139 5.138 12.294
Au 3.416 1.838 10.352
Au 3.416 1.650 21.675
Au 1.139 5.326 0.971
Au 1.139 6.704 18.211
Au 3.416 0.272 4.436
Au 3.416 3.216 15.759
Au 1.139 3.760 6.887
```

Results
The density of states at the Fermi level comes out at 7.59 states/eV/cell. The calculation puts the calculated formation energy at -0.3930 eV per atom. The crystal system is orthorhombic.

---

No. 14
La2Sn2Au15 | PBE | relaxed

```
19
Lattice="5.566 -4.894 -0.006 5.566 4.894 -0.006 1.271 0.000 7.302" Properties=species:S:1:pos:R:3 pbc="T T T"
La 4.317 0.000 2.537
La 8.087 0.000 4.753
Sn 1.242 0.000 0.730
Sn 11.162 0.000 6.561
Au 2.783 2.447 -0.003
Au 0.635 0.000 3.651
Au 2.783 -2.447 -0.003
Au 4.203 -3.341 2.314
Au 5.566 1.787 -0.006
Au 2.634 1.554 4.982
Au 5.566 -1.787 -0.006
Au 4.203 3.341 2.314
Au 2.634 -1.554 4.982
Au 5.359 -2.362 4.732
Au 7.432 0.000 1.204
Au 5.359 2.362 4.732
Au 7.045 2.362 2.559
Au 4.971 0.000 6.086
Au 7.045 -2.362 2.559
```

Results
The density of states at the Fermi level comes out at 8.43 states/eV/cell. The calculation puts the calculated formation energy at -0.3161 eV per atom. The crystal system is trigonal.

---

No. 15
La2Sn2Au | PBE | relaxed

```
5
Lattice="6.292 0.000 0.000 0.000 6.292 0.000 3.146 3.146 4.234" Properties=species:S:1:pos:R:3 pbc="T T T"
Au 0.000 0.000 0.000
Sn 3.146 3.146 1.454
Sn 6.292 6.292 2.780
La 6.292 3.146 2.117
La 3.146 6.292 2.117
```

Results
The density of states at the Fermi level comes out at 5.13 states/eV/cell. The calculation puts the calculated formation energy at -0.2923 eV per atom. For the excess energy over the best structure of this formula in the dataset, the calculation gives 523 meV/atom. The crystal system is tetragonal.

---

No. 16
LaSnAu2 | PBE | relaxed

```
4
Lattice="-2.966 0.183 -2.939 3.355 -0.518 -3.418 -0.514 -4.785 0.221" Properties=species:S:1:pos:R:3 pbc="T T T"
Au -0.257 -2.393 0.111
Au 1.678 -0.259 -1.709
Sn -0.062 -2.560 -3.068
La -1.483 0.091 -1.470
```

Results
The density of states at the Fermi level comes out at 2.39 states/eV/cell. The calculation puts the calculated formation energy at -0.5905 eV per atom. The crystal system is tetragonal.

---

No. 17
La7Sn2Au2 | PBE | relaxed

```
11
Lattice="7.245 -0.003 -0.889 0.003 7.284 0.003 -1.338 -0.002 7.176" Properties=species:S:1:pos:R:3 pbc="T T T"
La 6.575 2.045 2.703
La 2.289 5.231 6.732
La -0.665 5.234 3.588
La 3.621 2.047 -0.442
La 0.000 0.000 0.000
La 2.958 5.501 3.144
La 2.952 1.777 3.146
Sn 4.893 3.638 5.208
Sn 1.017 3.641 1.083
Au 4.871 7.281 1.348
Au 1.038 -0.002 4.943
```

Results
The density of states at the Fermi level comes out at 13.23 states/eV/cell. The calculation puts the calculated formation energy at -0.4383 eV per atom. The crystal system is orthorhombic.

---

No. 18
LaSn3Au | PBE | relaxed

```
5
Lattice="-0.136 5.267 -1.154 -0.158 -1.158 -5.266 -5.390 -0.099 0.183" Properties=species:S:1:pos:R:3 pbc="T T T"
Au 0.000 0.000 0.000
Sn -0.079 -0.579 -2.633
Sn -2.695 -0.050 0.092
Sn -0.068 2.634 -0.577
La -2.842 2.005 -3.118
```

Results
The density of states at the Fermi level comes out at 5.24 states/eV/cell. The calculation puts the calculated formation energy at -0.0425 eV per atom. For the excess energy over the best structure of this formula in the dataset, the calculation gives 418 meV/atom. The crystal system is cubic.

---

No. 19
LaSn3Au | PBE | relaxed

```
20
Lattice="-3.166 -3.019 4.676 1.414 -5.624 -2.674 11.033 -0.595 7.086" Properties=species:S:1:pos:R:3 pbc="T T T"
La 6.009 -5.533 7.072
La 3.273 -3.705 2.015
La 1.004 -2.490 5.649
La 8.277 -6.749 3.439
Sn 5.875 -1.704 2.877
Sn 4.990 -6.025 3.872
Sn 6.573 -4.515 1.535
Sn 4.292 -3.214 5.215
Sn 9.718 -2.046 7.451
Sn -0.436 -7.192 1.637
Sn 0.809 -4.339 -0.062
Sn 8.473 -4.899 9.150
Sn 8.275 -3.924 5.262
Sn 1.006 -5.315 3.826
Sn 3.248 -6.426 0.242
Sn 6.033 -2.812 8.846
Au -0.025 -2.981 2.443
Au 10.890 -4.748 4.307
Au 9.307 -6.258 6.645
Au 1.558 -1.471 0.105
```

Results
The density of states at the Fermi level comes out at 14.46 states/eV/cell. The calculation puts the calculated formation energy at -0.4483 eV per atom. For the excess energy over the best structure of this formula in the dataset, the calculation gives 12 meV/atom. The crystal system is orthorhombic.

---

No. 20
La3SnAu | PBE | relaxed

```
5
Lattice="5.774 0.000 0.000 0.000 5.774 0.000 0.000 0.000 5.774" Properties=species:S:1:pos:R:3 pbc="T T T"
Au 0.000 0.000 0.000
Sn 2.887 2.887 2.887
La 0.000 2.887 0.000
La 0.000 0.000 2.887
La 2.887 0.000 0.000
```

Results
The density of states at the Fermi level comes out at 6.70 states/eV/cell. The calculation puts the calculated formation energy at -0.2952 eV per atom. For the excess energy over the best structure of this formula in the dataset, the calculation gives 286 meV/atom. The crystal system is cubic.